Density functional theory data (PBE) for an optimized crystal structure of TaMn2Ag.

a b c (Å): 6.2301 6.2301 6.2301
angles (deg): 90.00 90.00 90.00
Closest atoms and distances in Å follow each position.
Space group Fm-3m (No. 225)
Asymmetric unit:
Ta (0.0000, 0.0000, 0.0000) x4  8 Mn 2.70
Mn (0.2500, 0.2500, 0.2500) x8  4 Ta 2.70, 4 Ag 2.70
Ag (0.0000, 0.0000, 0.5000) x4  8 Mn 2.70

Output
formation enthalpy at 0 K	0.28	eV/atom
relative energy among the computed polymorphs	98	meV/atom
total magnetic moment	16.89	μB per cell

Density functional theory data (PBE) for an optimized crystal structure of TaMnAg2.

a b c (Å): 2.9121 2.9121 28.1679
angles (deg): 90.00 90.00 120.00
Closest atoms and distances in Å follow each position.
Space group R3m (No. 160, hexagonal axes)
Asymmetric unit:
Ta (0.0000, 0.0000, 0.0000) x3  3 Mn 2.77, 6 Ta 2.91, 3 Ag 2.99
Mn (0.0000, 0.0000, 0.7447) x3  3 Ta 2.77, 3 Ag 2.83, 6 Mn 2.91
Ag (0.0000, 0.0000, 0.2455) x3  9 Ag 2.91-2.97, 3 Ta 2.99
Ag (0.0000, 0.0000, 0.4920) x3  3 Mn 2.83, 9 Ag 2.91-2.97

Output
formation enthalpy at 0 K	0.27	eV/atom
relative energy among the computed polymorphs	67	meV/atom
total magnetic moment	10.27	μB per cell

> Which formula does entry 1 have?

TaMn2Ag